No. 1
## Sc2TiAgSn (PBE-GGA)

Data for a relaxed Sc2TiAgSn crystal.

Results
- N(E_F) (states/eV per atom) = 1.20
- energy of formation from the pure elements (kJ/mol of formula units) = 163
- raw total energy (eV per atom) = -5.15

Cell: 5.077 5.077 4.919 Å, 90.00 90.00 90.00°
Space group P4/mmm (No. 123)
Asymmetric unit:
Sc 0.000 0.500 0.000 (multiplicity 2)
Ti 0.000 0.000 0.500 (multiplicity 1)
Ag 0.000 0.000 0.000 (multiplicity 1)
Sn 0.500 0.500 0.500 (multiplicity 1)

***

No. 2
## Ac6Os2NCl3 (PBE-GGA)

Data for a relaxed Ac6Os2NCl3 crystal.

Results
- N(E_F) (states/eV per atom) = 0.71
- uncorrected formation energy (eV/atom) = -0.996
- raw total energy (eV per atom) = -6.08

Cell: 7.247 12.593 8.302 Å, 90.00 107.10 90.00°
Space group C2/m (No. 12)
Asymmetric unit:
Ac 0.225 0.159 0.197 (multiplicity 8)
Ac 0.249 0.000 0.805 (multiplicity 4)
Os 0.000 0.334 0.000 (multiplicity 4)
N 0.000 0.000 0.000 (multiplicity 2)
Cl 0.000 0.173 0.500 (multiplicity 4)
Cl 0.000 0.500 0.500 (multiplicity 2)

***

No. 3
## SrTa2Ag (PBE-GGA)

Data for a relaxed SrTa2Ag crystal.

Results
- N(E_F) (states/eV per atom) = 1.11
- energy of formation from the pure elements (kJ/mol of formula units) = 360
- raw total energy (eV per atom) = -6.13

Cell: 2.839 5.414 5.712 Å, 90.00 90.00 90.00°
Space group Pmmm (No. 47)
Asymmetric unit:
Sr 0.000 0.000 0.000 (multiplicity 1)
Ta 0.500 0.500 0.251 (multiplicity 2)
Ag 0.000 0.000 0.500 (multiplicity 1)

***

No. 4
## Ac2CdTe5Pb (PBE-GGA)

Data for a relaxed Ac2CdTe5Pb crystal.

Results
- uncorrected formation energy (eV/atom) = -1.057
- raw total energy (eV per atom) = -4.23

Cell: 4.642 19.846 13.699 Å, 90.00 90.00 90.00°
Space group Cmc2_1 (No. 36)
Asymmetric unit:
Ac 0.000 0.113 0.000 (multiplicity 4)
Ac 0.000 0.129 0.619 (multiplicity 4)
Cd 0.000 0.440 0.774 (multiplicity 4)
Te 0.000 0.045 0.389 (multiplicity 4)
Te 0.000 0.285 0.987 (multiplicity 4)
Te 0.000 0.311 0.655 (multiplicity 4)
Te 0.000 0.365 0.313 (multiplicity 4)
Te 0.000 0.497 0.090 (multiplicity 4)
Pb 0.000 0.205 0.325 (multiplicity 4)

***

Sequential calculated density output: 4.8 8.5 10.5 7.4 g/cm3
Sequential size of the total moment output: 0.0 0.0 0.0 0.0 Bohr magnetons per cell